Computed, not measured: crystalline Tl2As2Au at its relaxed geometry at the PBE level of DFT.

Properties
- DFT total energy: -3.372 eV/atom
- Distance to the lowest polymorph of the same formula: 75 meV/atom
- ΔE_f: 0.090 eV/atom

The structure in CIF format:
```
data_Tl2As2Au
_cell_length_a 3.758
_cell_length_b 3.758
_cell_length_c 18.123
_cell_angle_alpha 90.00
_cell_angle_beta 90.00
_cell_angle_gamma 90.00
_symmetry_space_group_name_H-M 'I 4/m m m'
_symmetry_Int_Tables_number 139
_symmetry_space_group_name_Hall '-I 4 2'
loop_
_atom_site_label
_atom_site_fract_x
_atom_site_fract_y
_atom_site_fract_z
Tl1 0.000 0.000 0.096
As1 0.000 0.500 0.250
Au1 0.000 0.000 0.500
```